# PmEr2Rh | Alexandria via LeMat-Bulk | PBE | optimized geometry
# Crystal system: orthorhombic
# Energy of formation from the pure elements in eV per atom: -0.52
# Energy relative to the lowest polymorph listed for this composition in meV per atom: 0.0
data_PmEr2Rh
_cell_length_a 7.179
_cell_length_b 9.417
_cell_length_c 6.380
_cell_angle_alpha 90.00
_cell_angle_beta 90.00
_cell_angle_gamma 90.00
_symmetry_space_group_name_H-M 'P n m a'
_symmetry_Int_Tables_number 62
_symmetry_space_group_name_Hall '-P 2ac 2n'
loop_
_atom_site_label
_atom_site_type_symbol
_atom_site_fract_x
_atom_site_fract_y
_atom_site_fract_z
Pm1 Pm 0.034 0.250 0.136
Er1 Er 0.176 0.064 0.669
Rh1 Rh 0.117 0.750 0.432

# OsPb2Br | Alexandria via LeMat-Bulk | PBE | optimized geometry
# Crystal system: tetragonal
# Energy relative to the lowest polymorph listed for this composition in meV per atom: 362.5
# Formation energy without anion corrections in eV/atom: 0.763
data_OsPb2Br
_cell_length_a 3.426
_cell_length_b 3.426
_cell_length_c 8.183
_cell_angle_alpha 90.00
_cell_angle_beta 90.00
_cell_angle_gamma 90.00
_symmetry_space_group_name_H-M 'P 4 m m'
_symmetry_Int_Tables_number 99
_symmetry_space_group_name_Hall 'P 4 -2'
loop_
_atom_site_label
_atom_site_type_symbol
_atom_site_fract_x
_atom_site_fract_y
_atom_site_fract_z
Os1 Os 0.000 0.000 0.000
Pb1 Pb 0.000 0.000 0.485
Pb2 Pb 0.500 0.500 0.182
Br1 Br 0.500 0.500 0.775

# MnMoAu2 | Alexandria via LeMat-Bulk | PBE | optimized geometry
# Crystal system: tetragonal
# Energy of formation from the pure elements in eV per atom: 0.18
# Energy relative to the lowest polymorph listed for this composition in meV per atom: 49.7
data_MnMoAu2
_cell_length_a 2.849
_cell_length_b 2.849
_cell_length_c 8.110
_cell_angle_alpha 90.00
_cell_angle_beta 90.00
_cell_angle_gamma 90.00
_symmetry_space_group_name_H-M 'P 4/m m m'
_symmetry_Int_Tables_number 123
_symmetry_space_group_name_Hall '-P 4 2'
loop_
_atom_site_label
_atom_site_type_symbol
_atom_site_fract_x
_atom_site_fract_y
_atom_site_fract_z
Mn1 Mn 0.000 0.000 0.000
Mo1 Mo 0.000 0.000 0.500
Au1 Au 0.500 0.500 0.243

# TaAsP2S | Alexandria via LeMat-Bulk | PBE | optimized geometry
# Crystal system: tetragonal
# Energy relative to the lowest polymorph listed for this composition in meV per atom: 606.0
# Formation energy without anion corrections in eV/atom: 1.089
data_TaAsP2S
_cell_length_a 4.555
_cell_length_b 4.555
_cell_length_c 4.598
_cell_angle_alpha 90.00
_cell_angle_beta 90.00
_cell_angle_gamma 90.00
_symmetry_space_group_name_H-M 'P 4/m m m'
_symmetry_Int_Tables_number 123
_symmetry_space_group_name_Hall '-P 4 2'
loop_
_atom_site_label
_atom_site_type_symbol
_atom_site_fract_x
_atom_site_fract_y
_atom_site_fract_z
Ta1 Ta 0.000 0.000 0.000
As1 As 0.500 0.500 0.500
P1 P 0.000 0.500 0.500
S1 S 0.500 0.500 0.000

# KCePr2Se4 | Alexandria via LeMat-Bulk | PBE | optimized geometry
# Crystal system: monoclinic
# Formation energy without anion corrections in eV/atom: -1.747
data_KCePr2Se4
_cell_length_a 7.506
_cell_length_b 4.280
_cell_length_c 7.533
_cell_angle_alpha 90.00
_cell_angle_beta 108.83
_cell_angle_gamma 90.00
_symmetry_space_group_name_H-M 'P 1 2/m 1'
_symmetry_Int_Tables_number 10
_symmetry_space_group_name_Hall '-P 2y'
loop_
_atom_site_label
_atom_site_type_symbol
_atom_site_fract_x
_atom_site_fract_y
_atom_site_fract_z
K1 K 0.000 0.000 0.000
Ce1 Ce 0.500 0.500 0.000
Pr1 Pr 0.000 0.500 0.500
Pr2 Pr 0.500 0.000 0.500
Se1 Se 0.256 0.000 0.748
Se2 Se 0.263 0.500 0.261

# Tm4Al3Hg | Alexandria via LeMat-Bulk | PBE | optimized geometry
# Crystal system: tetragonal
# Energy of formation from the pure elements in eV per atom: -0.40
# Energy relative to the lowest polymorph listed for this composition in meV per atom: 0.0
data_Tm4Al3Hg
_cell_length_a 3.539
_cell_length_b 3.539
_cell_length_c 14.682
_cell_angle_alpha 90.00
_cell_angle_beta 90.00
_cell_angle_gamma 90.00
_symmetry_space_group_name_H-M 'P 4/m m m'
_symmetry_Int_Tables_number 123
_symmetry_space_group_name_Hall '-P 4 2'
loop_
_atom_site_label
_atom_site_type_symbol
_atom_site_fract_x
_atom_site_fract_y
_atom_site_fract_z
Tm1 Tm 0.000 0.000 0.121
Tm2 Tm 0.000 0.000 0.365
Al1 Al 0.500 0.500 0.000
Al2 Al 0.500 0.500 0.243
Hg1 Hg 0.500 0.500 0.500

Asked for spin magnetization across the records above, the calculation gives 0.00 0.13 4.04 1.05 1.26 0.00 μB/cell in order.